{"formula": "SrRu2Br", "functional": "GGA-PBE", "state": "optimized geometry", "total_energy_ha_per_atom": -0.1739, "n_ef_per_ev_cell": 5.223, "raw_formation_energy_ev_per_atom": 0.7447, "e_above_lowest_polymorph_mev_per_atom": 850, "cell": [[-0.7445, -0.3185, -3.0536], [0.6622, -5.0470, 0.3650], [-5.7527, -0.6485, 1.4702]], "species": ["Br", "Sr", "Ru", "Ru"], "frac_coords": [[0.5000, 0.5000, 0.7500], [0.5000, 0.5000, 0.2500], [0.0000, 0.0000, 0.0652], [0.0000, 0.0000, 0.4348]]}